Record 1
This record from the Alexandria database describes a geometry-optimized Cs3Tl2Te4 structure. The functional is PBE.

Values from the calculation:
DFT total energy in eV per atom: -2.876
Space-group type: C2/c (15)
Energy above the lowest structure with this stoichiometry in eV per atom: 0.000

Cell: 10.1386 10.1386 9.2304 Å, 95.58 95.58 77.89°
Positions (direct):
Cs: 0.1124 0.8876 0.7500
Cs: 0.2389 0.4893 0.3952
Cs: 0.4893 0.2389 0.8952
Cs: 0.5107 0.7611 0.1048
Cs: 0.7611 0.5107 0.6048
Cs: 0.8876 0.1124 0.2500
Tl: 0.0813 0.3206 0.9268
Tl: 0.3206 0.0813 0.4268
Tl: 0.6794 0.9187 0.5732
Tl: 0.9187 0.6794 0.0732
Te: 0.1027 0.2345 0.6058
Te: 0.2014 0.5703 0.9882
Te: 0.2345 0.1027 0.1058
Te: 0.4297 0.7986 0.5118
Te: 0.5703 0.2014 0.4882
Te: 0.7655 0.8973 0.8942
Te: 0.7986 0.4297 0.0118
Te: 0.8973 0.7655 0.3942

***

Record 2
This record from the Alexandria database describes a geometry-optimized CsAl2Ga2 structure. The functional is PBE.

Values from the calculation:
DFT total energy in eV per atom: -2.851
Formation enthalpy at 0 K in meV per atom: 28
Space-group type: I4/mmm (139)
Energy above the lowest structure with this stoichiometry in eV per atom: 0.028

Cell: 4.5554 4.5554 12.0571 Å, 90.00 90.00 90.00°
Positions (direct):
Cs: 0.0000 0.0000 0.0000
Cs: 0.5000 0.5000 0.5000
Al: 0.0000 0.5000 0.2500
Al: 0.0000 0.5000 0.7500
Al: 0.5000 0.0000 0.2500
Al: 0.5000 0.0000 0.7500
Ga: 0.0000 0.0000 0.3769
Ga: 0.0000 0.0000 0.6231
Ga: 0.5000 0.5000 0.1231
Ga: 0.5000 0.5000 0.8769

***

Record 3
This record from the Alexandria database describes a geometry-optimized TmFe2SiC structure. The functional is PBE.

Values from the calculation:
DFT total energy in eV per atom: -7.757
Space-group type: Cmcm (63)

Cell: 5.5193 5.5193 6.6998 Å, 90.00 90.00 140.87°
Positions (direct):
Tm: 0.0494 0.9506 0.7500
Tm: 0.9506 0.0494 0.2500
Fe: 0.3348 0.6652 0.5622
Fe: 0.3348 0.6652 0.9378
Fe: 0.6652 0.3348 0.0622
Fe: 0.6652 0.3348 0.4378
Si: 0.2307 0.7693 0.2500
Si: 0.7693 0.2307 0.7500
C: 0.5000 0.5000 0.0000
C: 0.5000 0.5000 0.5000

***

Record 4
This record from the Alexandria database describes a geometry-optimized AlAs2Au structure. The functional is PBE.

Values from the calculation:
DFT total energy in eV per atom: -3.868
Formation enthalpy at 0 K in meV per atom: 212
Space-group type: I-4m2 (119)

Cell: 4.3874 4.3874 7.6996 Å, 90.00 90.00 90.00°
Positions (direct):
Al: 0.0000 0.0000 0.0000
Al: 0.5000 0.5000 0.5000
As: 0.0000 0.0000 0.5000
As: 0.0000 0.5000 0.7500
As: 0.5000 0.0000 0.2500
As: 0.5000 0.5000 0.0000
Au: 0.0000 0.5000 0.2500
Au: 0.5000 0.0000 0.7500

***

Number 1: density of states at the Fermi level 9.17 states/eV per cell. Number 2: density of states at the Fermi level 4.46 states/eV per cell. Number 3: density of states at the Fermi level 8.90 states/eV per cell. Number 4: density of states at the Fermi level 3.55 states/eV per cell.